Pm4Ge2H3 | PBE | relaxed

- density of states at the Fermi level (states/eV/cell) = 21.69
- total DFT energy (no corrections) (eV for the cell shown) = -174.0
- crystal system = orthorhombic

abc: 6.7643 13.3125 8.0070
angles: 90.00 90.00 90.00
Space group Cmce (No. 64)
Inequivalent atoms, fractional coordinates:
Pm  0.0000  0.2009  0.1169 [8 per cell]
Pm  0.2500  0.0516  0.7500 [8 per cell]
Ge  0.0000  0.0990  0.4462 [8 per cell]
H  0.0000  0.0000  0.0000 [4 per cell]
H  0.2500  0.2201  0.7500 [8 per cell]